Computed, not measured: crystalline TbMgHg at its relaxed geometry at the PBE level of DFT.

Unit cell a=4.914 b=4.914 c=4.914 alpha=60.00 beta=60.00 gamma=60.00
Element x y z (fractional)
Tb 0.000 0.000 0.000
Mg 0.500 0.500 0.500
Hg 0.250 0.250 0.250

electronic total energy = -2.39 eV/atom
space-group type = F-43m, No. 216
formation energy = -61 kJ/mol of formula units

=====

Computed, not measured: crystalline Tb3MgHg5 at its relaxed geometry at the PBE level of DFT.

Unit cell a=9.026 b=9.026 c=6.286 alpha=90.00 beta=90.00 gamma=120.00
Element x y z (fractional)
Tb 0.000 0.359 0.250
Tb 0.000 0.641 0.750
Tb 0.359 0.000 0.250
Tb 0.359 0.359 0.750
Tb 0.641 0.000 0.750
Tb 0.641 0.641 0.250
Mg 0.000 0.000 0.000
Mg 0.000 0.000 0.500
Hg 0.000 0.300 0.750
Hg 0.000 0.700 0.250
Hg 0.300 0.000 0.750
Hg 0.300 0.300 0.250
Hg 0.333 0.667 0.000
Hg 0.333 0.667 0.500
Hg 0.667 0.333 0.000
Hg 0.667 0.333 0.500
Hg 0.700 0.000 0.250
Hg 0.700 0.700 0.750

electronic total energy = -2.32 eV/atom
space-group type = P6_3/mcm, No. 193
formation energy = -376 kJ/mol of formula units

=====

Computed, not measured: crystalline Tb6MgHg3 at its relaxed geometry at the PBE level of DFT.

Unit cell a=9.349 b=5.277 c=11.630 alpha=90.00 beta=107.13 gamma=90.00
Element x y z (fractional)
Tb 0.031 0.250 0.402
Tb 0.153 0.750 0.187
Tb 0.247 0.250 0.006
Tb 0.342 0.750 0.809
Tb 0.373 0.250 0.336
Tb 0.392 0.250 0.616
Tb 0.608 0.750 0.384
Tb 0.627 0.750 0.664
Tb 0.658 0.250 0.191
Tb 0.753 0.750 0.994
Tb 0.847 0.250 0.813
Tb 0.969 0.750 0.598
Mg 0.457 0.750 0.100
Mg 0.543 0.250 0.900
Hg 0.039 0.750 0.886
Hg 0.136 0.250 0.725
Hg 0.278 0.750 0.473
Hg 0.722 0.250 0.527
Hg 0.864 0.750 0.275
Hg 0.961 0.250 0.114

electronic total energy = -3.29 eV/atom
space-group type = P2_1/m, No. 11
formation energy = -253 kJ/mol of formula units